Entry 1:
Dy4MgAg3 PBE-GGA relaxed; symmetry = Pmm2 (25); calculated formation energy = -0.195 eV per atom; ρ = 8.20 Mg/m³; crystal system = orthorhombic; distance to the lowest polymorph of the same formula = 53 meV/atom; M_tot = 0.00 μB/cell
1.0
3.5858 0.0000 0.0000
0.0000 4.8606 0.0000
0.0000 0.0000 11.5910
Dy Mg Ag
4 1 3
direct
0.0000 0.0000 0.0000
0.0000 0.5000 0.2894
0.5000 0.0000 0.4794
0.5000 0.5000 0.8083
0.0000 0.0000 0.7133
0.0000 0.5000 0.5683
0.5000 0.0000 0.2184
0.5000 0.5000 0.0716

***

Entry 2:
Dy4MgAg2 PBE-GGA relaxed; symmetry = R-3m (166); calculated formation energy = 0.041 eV per atom; ρ = 7.37 Mg/m³; crystal system = trigonal; distance to the lowest polymorph of the same formula = 129 meV/atom; M_tot = 0.00 μB/cell
1.0
2.5625 1.4795 8.8175
-2.5625 1.4795 8.8175
0.0000 -2.9589 8.8175
Dy Mg Ag
4 1 2
direct
0.1215 0.1215 0.1215
0.2894 0.2894 0.2894
0.7106 0.7106 0.7106
0.8785 0.8785 0.8785
0.5000 0.5000 0.5000
0.4009 0.4009 0.4009
0.5991 0.5991 0.5991

***

Question: ρ of number 1 (Dy4MgAg3)?
Answer: 8.20 Mg/m³

***

Copy entry 2 word for word.
Dy4MgAg2 PBE-GGA relaxed; symmetry = R-3m (166); calculated formation energy = 0.041 eV per atom; ρ = 7.37 Mg/m³; crystal system = trigonal; distance to the lowest polymorph of the same formula = 129 meV/atom; M_tot = 0.00 μB/cell
1.0
2.5625 1.4795 8.8175
-2.5625 1.4795 8.8175
0.0000 -2.9589 8.8175
Dy Mg Ag
4 1 2
direct
0.1215 0.1215 0.1215
0.2894 0.2894 0.2894
0.7106 0.7106 0.7106
0.8785 0.8785 0.8785
0.5000 0.5000 0.5000
0.4009 0.4009 0.4009
0.5991 0.5991 0.5991

***

Question: Look up the ρ of the first one.
Answer: 8.20 Mg/m³

***

Question: Look up the distance to the lowest polymorph of the same formula of the second one.
Answer: 129 meV/atom